(1)
Here is a relaxed Ac6Tl3IrPt2 crystal from the Alexandria database. Energies are from PBE.

Computed properties:
Energy relative to the elements, kJ/mol of atoms: -64.7

Unit cell a=7.504 b=12.989 c=9.033 alpha=90.00 beta=106.05 gamma=90.00
Space group C2/m (No. 12)
Unique sites:
Ac  0.228  0.163  0.197 (multiplicity 8)
Ac  0.241  0.500  0.200 (multiplicity 4)
Tl  0.000  0.173  0.500 (multiplicity 4)
Tl  0.000  0.500  0.500 (multiplicity 2)
Ir  0.000  0.000  0.000 (multiplicity 2)
Pt  0.000  0.334  0.000 (multiplicity 4)

=====

(2)
Here is a relaxed Ac2U3IrPt12 crystal from the Alexandria database. Energies are from PBE.

Computed properties:
Energy relative to the elements, kJ/mol of atoms: -49.8

Unit cell a=9.4561 b=9.4561 c=14.6494 alpha=90.00 beta=90.00 gamma=120.00
Space group R-3m (No. 166, hexagonal axes)
Unique sites:
Ac  0.0000  0.0000  0.1395 (multiplicity 6)
U  0.0000  0.5000  0.0000 (multiplicity 9)
Ir  0.0000  0.0000  0.5000 (multiplicity 3)
Pt  0.0269  0.5134  0.4086 (multiplicity 18)
Pt  0.0376  0.5188  0.2252 (multiplicity 18)

=====

(3)
Here is a relaxed Ac2Zn6IrPt crystal from the Alexandria database. Energies are from PBE.

Computed properties:
Energy relative to the elements, kJ/mol of atoms: -33.8

Unit cell a=6.861 b=6.873 c=9.704 alpha=90.00 beta=90.00 gamma=90.00
Space group Immm (No. 71)
Unique sites:
Ac  0.000  0.000  0.250 (multiplicity 4)
Zn  0.000  0.500  0.249 (multiplicity 4)
Zn  0.249  0.251  0.000 (multiplicity 8)
Ir  0.000  0.500  0.000 (multiplicity 2)
Pt  0.000  0.500  0.500 (multiplicity 2)

=====

(4)
Here is a relaxed Ac2Zn4Ir3Pt crystal from the Alexandria database. Energies are from PBE.

Computed properties:
Energy relative to the elements, kJ/mol of atoms: -49.0

Unit cell a=4.311 b=4.311 c=10.717 alpha=90.00 beta=90.00 gamma=90.00
Space group P-4m2 (No. 115)
Unique sites:
Ac  0.000  0.500  0.245 (multiplicity 2)
Zn  0.000  0.000  0.500 (multiplicity 1)
Zn  0.000  0.500  0.871 (multiplicity 2)
Zn  0.500  0.500  0.500 (multiplicity 1)
Ir  0.000  0.000  0.000 (multiplicity 1)
Ir  0.000  0.500  0.635 (multiplicity 2)
Pt  0.500  0.500  0.000 (multiplicity 1)

=====

(5)
Here is a relaxed AcZn3IrPt crystal from the Alexandria database. Energies are from PBE.

Computed properties:
Energy relative to the elements, kJ/mol of atoms: -39.3

Unit cell a=6.601 b=12.798 c=5.710 alpha=90.00 beta=90.00 gamma=90.00
Space group Cmcm (No. 63)
Unique sites:
Ac  0.000  0.232  0.250 (multiplicity 4)
Zn  0.000  0.352  0.750 (multiplicity 4)
Zn  0.195  0.000  0.000 (multiplicity 8)
Ir  0.000  0.454  0.250 (multiplicity 4)
Pt  0.000  0.152  0.750 (multiplicity 4)

=====

(6)
Here is a relaxed Ac2Zn3IrPt12 crystal from the Alexandria database. Energies are from PBE.

Computed properties:
Energy relative to the elements, kJ/mol of atoms: -28.8

Unit cell a=6.8028 b=6.8028 c=26.8569 alpha=90.00 beta=90.00 gamma=120.00
Space group R-3m (No. 166, hexagonal axes)
Unique sites:
Ac  0.0000  0.0000  0.1551 (multiplicity 6)
Zn  0.0000  0.5000  0.0000 (multiplicity 9)
Ir  0.0000  0.0000  0.5000 (multiplicity 3)
Pt  0.0457  0.5229  0.0964 (multiplicity 18)
Pt  0.0664  0.5332  0.6200 (multiplicity 18)

=====

(7)
Here is a relaxed AcZn2IrPt crystal from the Alexandria database. Energies are from PBE.

Computed properties:
Energy relative to the elements, kJ/mol of atoms: -48.3

Unit cell a=4.094 b=4.262 c=11.605 alpha=90.00 beta=90.00 gamma=90.00
Space group Imm2 (No. 44)
Unique sites:
Ac  0.000  0.000  0.000 (multiplicity 2)
Zn  0.000  0.000  0.367 (multiplicity 2)
Zn  0.000  0.500  0.232 (multiplicity 2)
Ir  0.000  0.000  0.585 (multiplicity 2)
Pt  0.000  0.500  0.734 (multiplicity 2)

=====

(8)
Here is a relaxed Ac5PuIr5 crystal from the Alexandria database. Energies are from PBE.

Computed properties:
Energy relative to the elements, kJ/mol of atoms: -47.1

Unit cell a=13.466 b=5.964 c=8.569 alpha=90.00 beta=109.07 gamma=90.00
Space group C2/m (No. 12)
Unique sites:
Ac  0.000  0.000  0.000 (multiplicity 2)
Ac  0.171  0.500  0.345 (multiplicity 4)
Ac  0.177  0.500  0.824 (multiplicity 4)
Pu  0.000  0.000  0.500 (multiplicity 2)
Ir  0.000  0.500  0.500 (multiplicity 2)
Ir  0.147  0.000  0.333 (multiplicity 4)
Ir  0.154  0.000  0.819 (multiplicity 4)

=====

(9)
Here is a relaxed Ac3PuIr3 crystal from the Alexandria database. Energies are from PBE.

Computed properties:
Energy relative to the elements, kJ/mol of atoms: -38.6

Unit cell a=8.703 b=12.312 c=7.608 alpha=90.00 beta=91.91 gamma=90.00
Space group C2/m (No. 12)
Unique sites:
Ac  0.000  0.160  0.000 (multiplicity 4)
Ac  0.000  0.239  0.500 (multiplicity 4)
Ac  0.127  0.500  0.840 (multiplicity 4)
Pu  0.236  0.000  0.630 (multiplicity 4)
Ir  0.071  0.000  0.318 (multiplicity 4)
Ir  0.177  0.333  0.185 (multiplicity 8)

=====

(10)
Here is a relaxed Ac3Pu2Ir4 crystal from the Alexandria database. Energies are from PBE.

Computed properties:
Offset from the most stable computed form, meV per atom: 0
Energy relative to the elements, kJ/mol of atoms: -50.4

Unit cell a=11.889 b=4.335 c=9.346 alpha=90.00 beta=100.61 gamma=90.00
Space group C2/m (No. 12)
Unique sites:
Ac  0.000  0.000  0.000 (multiplicity 2)
Ac  0.121  0.500  0.387 (multiplicity 4)
Pu  0.182  0.500  0.791 (multiplicity 4)
Ir  0.081  0.000  0.636 (multiplicity 4)
Ir  0.201  0.500  0.089 (multiplicity 4)

=====

(11)
Here is a relaxed AcPuIr4 crystal from the Alexandria database. Energies are from PBE.

Computed properties:
Energy relative to the elements, kJ/mol of atoms: -49.2

Unit cell a=7.735 b=7.735 c=7.735 alpha=90.00 beta=90.00 gamma=90.00
Space group F-43m (No. 216)
Unique sites:
Ac  0.000  0.000  0.000 (multiplicity 4)
Pu  0.250  0.250  0.750 (multiplicity 4)
Ir  0.124  0.124  0.376 (multiplicity 16)

=====

(12)
Here is a relaxed Ac2Pu12Ir7 crystal from the Alexandria database. Energies are from PBE.

Computed properties:
Energy relative to the elements, kJ/mol of atoms: -34.9

Unit cell a=11.6128 b=11.6128 c=4.4687 alpha=90.00 beta=90.00 gamma=120.00
Space group P-6 (No. 174)
Unique sites:
Ac  0.0000  0.0000  0.0000 (multiplicity 1)
Ac  0.3333  0.6667  0.5000 (multiplicity 1)
Pu  0.0741  0.7874  0.5000 (multiplicity 3)
Pu  0.0749  0.3992  0.0000 (multiplicity 3)
Pu  0.3883  0.2313  0.0000 (multiplicity 3)
Pu  0.5490  0.1186  0.5000 (multiplicity 3)
Ir  0.1136  0.6582  0.0000 (multiplicity 3)
Ir  0.2623  0.0619  0.5000 (multiplicity 3)
Ir  0.6667  0.3333  0.0000 (multiplicity 1)

=====

(13)
Here is a relaxed AcPu2Ir9 crystal from the Alexandria database. Energies are from PBE.

Computed properties:
Energy relative to the elements, kJ/mol of atoms: -40.2

Unit cell a=5.3780 b=5.3780 c=26.3021 alpha=90.00 beta=90.00 gamma=120.00
Space group R-3m (No. 166, hexagonal axes)
Unique sites:
Ac  0.0000  0.0000  0.0000 (multiplicity 3)
Pu  0.0000  0.0000  0.1404 (multiplicity 6)
Ir  0.0000  0.0000  0.3333 (multiplicity 6)
Ir  0.0000  0.0000  0.5000 (multiplicity 3)
Ir  0.0030  0.5015  0.9159 (multiplicity 18)

=====

(14)
Here is a relaxed Ac3Pu2Ir4 crystal from the Alexandria database. Energies are from PBE.

Computed properties:
Offset from the most stable computed form, meV per atom: 39
Energy relative to the elements, kJ/mol of atoms: -46.7

Unit cell a=12.610 b=4.382 c=9.164 alpha=90.00 beta=112.86 gamma=90.00
Space group C2/m (No. 12)
Unique sites:
Ac  0.000  0.000  0.000 (multiplicity 2)
Ac  0.119  0.500  0.714 (multiplicity 4)
Pu  0.185  0.500  0.345 (multiplicity 4)
Ir  0.082  0.000  0.422 (multiplicity 4)
Ir  0.211  0.500  0.064 (multiplicity 4)

=====

(15)
Here is a relaxed AcPu3Ir2 crystal from the Alexandria database. Energies are from PBE.

Computed properties:
Offset from the most stable computed form, meV per atom: 0
Energy relative to the elements, kJ/mol of atoms: -31.6

Unit cell a=4.246 b=8.906 c=7.994 alpha=90.00 beta=90.00 gamma=90.00
Space group Pmc2_1 (No. 26)
Unique sites:
Ac  0.000  0.089  0.000 (multiplicity 2)
Pu  0.000  0.316  0.620 (multiplicity 2)
Pu  0.500  0.197  0.332 (multiplicity 2)
Pu  0.500  0.425  0.954 (multiplicity 2)
Ir  0.000  0.401  0.264 (multiplicity 2)
Ir  0.500  0.126  0.704 (multiplicity 2)

=====

(16)
Here is a relaxed AcPu3Ir2 crystal from the Alexandria database. Energies are from PBE.

Computed properties:
Offset from the most stable computed form, meV per atom: 44
Energy relative to the elements, kJ/mol of atoms: -27.4

Unit cell a=17.120 b=4.548 c=8.195 alpha=90.00 beta=114.18 gamma=90.00
Space group C2/m (No. 12)
Unique sites:
Ac  0.152  0.000  0.044 (multiplicity 4)
Pu  0.051  0.000  0.370 (multiplicity 4)
Pu  0.096  0.500  0.625 (multiplicity 4)
Pu  0.189  0.500  0.452 (multiplicity 4)
Ir  0.008  0.500  0.166 (multiplicity 4)
Ir  0.208  0.000  0.730 (multiplicity 4)

=====

(17)
Here is a relaxed Ac3PuIr4 crystal from the Alexandria database. Energies are from PBE.

Computed properties:
Energy relative to the elements, kJ/mol of atoms: -45.9

Unit cell a=4.631 b=5.873 c=16.358 alpha=90.00 beta=90.00 gamma=90.00
Space group Immm (No. 71)
Unique sites:
Ac  0.000  0.000  0.000 (multiplicity 2)
Ac  0.000  0.500  0.197 (multiplicity 4)
Pu  0.000  0.000  0.500 (multiplicity 2)
Ir  0.000  0.280  0.379 (multiplicity 8)

=====

(18)
Here is a relaxed AcPu6Ir4 crystal from the Alexandria database. Energies are from PBE.

Computed properties:
Energy relative to the elements, kJ/mol of atoms: -25.5

Unit cell a=7.566 b=7.566 c=10.198 alpha=90.00 beta=90.00 gamma=90.00
Space group I-42m (No. 121)
Unique sites:
Ac  0.000  0.000  0.000 (multiplicity 2)
Pu  0.000  0.500  0.000 (multiplicity 4)
Pu  0.154  0.154  0.329 (multiplicity 8)
Ir  0.219  0.219  0.595 (multiplicity 8)

=====

(19)
Here is a relaxed Ac3PuIr8 crystal from the Alexandria database. Energies are from PBE.

Computed properties:
Energy relative to the elements, kJ/mol of atoms: -51.6

Unit cell a=5.5216 b=5.5216 c=27.0198 alpha=90.00 beta=90.00 gamma=120.00
Space group R3m (No. 160, hexagonal axes)
Unique sites:
Ac  0.0000  0.0000  0.0000 (multiplicity 3)
Ac  0.0000  0.0000  0.1259 (multiplicity 3)
Ac  0.0000  0.0000  0.6232 (multiplicity 3)
Pu  0.0000  0.0000  0.4995 (multiplicity 3)
Ir  0.0000  0.0000  0.3124 (multiplicity 3)
Ir  0.0000  0.0000  0.8128 (multiplicity 3)
Ir  0.0034  0.5017  0.0644 (multiplicity 9)
Ir  0.1675  0.3350  0.8937 (multiplicity 9)

=====

(20)
Here is a relaxed Ac2Pu3Ir4 crystal from the Alexandria database. Energies are from PBE.

Computed properties:
Energy relative to the elements, kJ/mol of atoms: -45.3

Unit cell a=6.309 b=16.658 c=8.170 alpha=90.00 beta=90.00 gamma=90.00
Space group Cmce (No. 64)
Unique sites:
Ac  0.000  0.106  0.092 (multiplicity 8)
Pu  0.000  0.000  0.500 (multiplicity 4)
Pu  0.250  0.215  0.750 (multiplicity 8)
Ir  0.000  0.178  0.455 (multiplicity 8)
Ir  0.250  0.049  0.750 (multiplicity 8)